# Sr2NbBI

An optimized crystal structure of Sr2NbBI (PBE, the Alexandria database).

Cell and atoms, written as extended XYZ:
```
5
Lattice="-1.109 1.413 -5.346 -3.212 -3.775 -0.332 -4.156 3.383 1.757" Properties=species:S:1:pos:R:3 pbc="T T T"
B 0.000 0.000 0.000
I -1.606 -1.887 -0.166
Sr -0.555 0.707 -2.673
Nb -4.239 0.511 -1.960
Sr -2.078 1.691 0.878
```

---

# NbTcBI2

An optimized crystal structure of NbTcBI2 (PBE, the Alexandria database).

Cell and atoms, written as extended XYZ:
```
5
Lattice="5.582 0.000 0.000 0.000 4.874 0.000 0.000 0.000 5.582" Properties=species:S:1:pos:R:3 pbc="T T T"
Tc 0.000 2.437 0.000
B 2.791 2.437 2.791
Nb 0.000 0.000 0.000
I 2.791 0.000 0.000
I 0.000 0.000 2.791
```

---

| no. | electronic total energy (eV per cell) |
| --- | --- |
| 1 | -16.4 |
| 2 | -21.2 |